--- a ---
A relaxed structure of MgCdIr, computed with PBE.

Cell: 6.3179 6.3179 6.3179 Å, 90.00 90.00 90.00°
Last column: nearest neighbours and their distance in Å.
Space group F-43m (No. 216)
One atom of each set of equivalent atoms:
Mg 0.0000 0.0000 0.0000 (multiplicity 4)  4 Ir 2.74
Cd 0.0000 0.0000 0.5000 (multiplicity 4)  4 Ir 2.74
Ir 0.2500 0.2500 0.7500 (multiplicity 4)  4 Cd 2.74, 4 Mg 2.74

--- b ---
A relaxed structure of MgCdIr, computed with PBE.

Cell: 5.5865 5.5865 13.0702 Å, 90.00 90.00 120.00°
Last column: nearest neighbours and their distance in Å.
Space group P6_222 (No. 180)
One atom of each set of equivalent atoms:
Mg 0.0000 0.5000 0.3538 (multiplicity 6)  4 Ir 2.63-2.75, 2 Cd 2.81, 2 Mg 2.84
Cd 0.0000 0.0000 0.1667 (multiplicity 3)  4 Ir 3.07, 4 Mg 3.38
Cd 0.0000 0.5000 0.6667 (multiplicity 3)  4 Mg 2.81, 4 Ir 2.83
Ir 0.2614 0.6307 0.1667 (multiplicity 6)  1 Ir 2.53, 4 Mg 2.63-2.75

--- c ---
A relaxed structure of MgCdIr, computed with PBE.

Cell: 4.4878 4.4878 2.9587 Å, 90.00 90.00 120.00°
Last column: nearest neighbours and their distance in Å.
Space group P3m1 (No. 156)
One atom of each set of equivalent atoms:
Mg 0.0000 0.0000 0.0000 (multiplicity 1)  3 Ir 2.73, 3 Cd 2.75, 2 Mg 2.96
Cd 0.6667 0.3333 0.3115 (multiplicity 1)  3 Mg 2.75, 3 Ir 2.85, 2 Cd 2.96
Ir 0.3333 0.6667 0.7088 (multiplicity 1)  3 Mg 2.73, 3 Cd 2.85, 2 Ir 2.96

--- d ---
A relaxed structure of MgCdIr, computed with PBE.

Cell: 3.0523 3.8720 8.7992 Å, 90.00 90.00 90.00°
Last column: nearest neighbours and their distance in Å.
Space group Imm2 (No. 44)
One atom of each set of equivalent atoms:
Mg 0.0000 0.0000 0.0000 (multiplicity 2)  5 Cd 2.77-2.95, 4 Ir 2.78, 2 Mg 3.05
Cd 0.0000 0.0000 0.6849 (multiplicity 2)  5 Mg 2.77-2.95, 5 Ir 2.88-2.91, 2 Cd 3.05
Ir 0.0000 0.0000 0.3544 (multiplicity 2)  4 Mg 2.78, 5 Cd 2.88-2.91, 2 Ir 3.05

Q: Which of them is the least stable? A: a.

--- a ---
A relaxed structure of MgCdIr, computed with PBE.

Cell: 3.2598 3.2598 9.8262 Å, 90.00 90.00 90.00°
Last column: nearest neighbours and their distance in Å.
Space group I4mm (No. 107)
One atom of each set of equivalent atoms:
Mg 0.0000 0.0000 0.0000 (multiplicity 2)  4 Ir 2.67, 4 Cd 2.98
Cd 0.0000 0.0000 0.6924 (multiplicity 2)  4 Ir 2.84, 5 Mg 2.98-3.02
Ir 0.0000 0.0000 0.3620 (multiplicity 2)  4 Mg 2.67, 4 Cd 2.84

--- b ---
A relaxed structure of MgCdIr, computed with PBE.

Cell: 3.1588 4.8390 13.9356 Å, 90.00 90.00 90.00°
Last column: nearest neighbours and their distance in Å.
Space group Fmm2 (No. 42)
One atom of each set of equivalent atoms:
Mg 0.0000 0.0000 0.0000 (multiplicity 4)  2 Ir 2.59, 4 Mg 2.89
Cd 0.0000 0.0000 0.6860 (multiplicity 4)  2 Ir 2.81, 4 Cd 2.89, 2 Mg 3.04
Ir 0.0000 0.0000 0.3530 (multiplicity 4)  2 Mg 2.59, 2 Cd 2.81, 4 Ir 2.89

Q: Which of them is the least stable? A: b.

--- a ---
A relaxed structure of Mg2CdIr2, computed with PBE.

Cell: 7.6862 7.6862 2.8806 Å, 90.00 90.00 90.00°
Last column: nearest neighbours and their distance in Å.
Space group P4/mbm (No. 127)
One atom of each set of equivalent atoms:
Mg 0.1278 0.3722 0.0000 (multiplicity 4)  6 Ir 2.63-2.72, 3 Mg 2.78-2.88
Cd 0.0000 0.0000 0.0000 (multiplicity 2)  2 Cd 2.88, 4 Mg 3.02, 8 Ir 3.20
Ir 0.1698 0.6698 0.5000 (multiplicity 4)  6 Mg 2.63-2.72, 2 Ir 2.88

--- b ---
A relaxed structure of Mg2CdIr2, computed with PBE.

Cell: 6.9081 6.9081 3.7980 Å, 90.00 90.00 90.00°
Last column: nearest neighbours and their distance in Å.
Space group P4/mbm (No. 127)
One atom of each set of equivalent atoms:
Mg 0.1638 0.3362 0.0000 (multiplicity 4)  6 Ir 2.76-2.80
Cd 0.0000 0.0000 0.5000 (multiplicity 2)  4 Ir 2.70
Ir 0.1317 0.6317 0.5000 (multiplicity 4)  1 Ir 2.57, 2 Cd 2.70, 6 Mg 2.76-2.80

Q: Which of them is the least stable? A: a.

--- a ---
A relaxed structure of Mg3CdIr, computed with PBE.

Cell: 6.5634 6.5634 6.5634 Å, 90.00 90.00 90.00°
Last column: nearest neighbours and their distance in Å.
Space group Pm-3m (No. 221)
One atom of each set of equivalent atoms:
Mg 0.0000 0.0000 0.0000 (multiplicity 1)  8 Mg 3.12, 6 Cd 3.28
Mg 0.2744 0.2744 0.2744 (multiplicity 8)  3 Ir 2.76, 3 Cd 2.95, 3 Mg 2.96
Cd 0.0000 0.0000 0.5000 (multiplicity 3)  10 Mg 2.95-3.28, 4 Ir 3.28
Ir 0.0000 0.5000 0.5000 (multiplicity 3)  8 Mg 2.76

--- b ---
A relaxed structure of Mg3CdIr, computed with PBE.

Cell: 4.9935 4.9935 4.9935 Å, 90.00 90.00 90.00°
Last column: nearest neighbours and their distance in Å.
Space group Pm-3m (No. 221)
One atom of each set of equivalent atoms:
Mg 0.0000 0.0000 0.5000 (multiplicity 3)  2 Ir 2.50
Cd 0.5000 0.5000 0.5000 (multiplicity 1)  12 Mg 3.53
Ir 0.0000 0.0000 0.0000 (multiplicity 1)  6 Mg 2.50

Q: Which of them is the least stable? A: b.

--- a ---
A relaxed structure of MnCd2Ir, computed with PBE.

Cell: 4.0519 4.0519 8.3827 Å, 90.00 90.00 90.00°
Last column: nearest neighbours and their distance in Å.
Space group I4/mmm (No. 139)
One atom of each set of equivalent atoms:
Mn 0.0000 0.0000 0.0000 (multiplicity 2)  4 Ir 2.87, 8 Cd 2.91
Cd 0.0000 0.5000 0.2500 (multiplicity 4)  4 Cd 2.87, 4 Mn 2.91, 4 Ir 2.91
Ir 0.0000 0.0000 0.5000 (multiplicity 2)  4 Mn 2.87, 8 Cd 2.91

--- b ---
A relaxed structure of MnCd2Ir, computed with PBE.

Cell: 4.1363 4.1363 8.0474 Å, 90.00 90.00 90.00°
Last column: nearest neighbours and their distance in Å.
Space group I-4m2 (No. 119)
One atom of each set of equivalent atoms:
Mn 0.0000 0.0000 0.0000 (multiplicity 2)  8 Cd 2.89-2.92, 4 Ir 2.89
Cd 0.0000 0.0000 0.5000 (multiplicity 2)  4 Cd 2.89, 4 Ir 2.89, 4 Mn 2.92
Cd 0.0000 0.5000 0.7500 (multiplicity 2)  4 Cd 2.89, 4 Mn 2.89, 4 Ir 2.92
Ir 0.0000 0.5000 0.2500 (multiplicity 2)  4 Mn 2.89, 8 Cd 2.89-2.92

--- c ---
A relaxed structure of MnCd2Ir, computed with PBE.

Cell: 2.9827 4.0868 5.6786 Å, 90.00 90.00 90.00°
Last column: nearest neighbours and their distance in Å.
Space group Pmmm (No. 47)
One atom of each set of equivalent atoms:
Mn 0.0000 0.0000 0.0000 (multiplicity 1)  2 Ir 2.84, 8 Cd 2.91, 2 Mn 2.98
Cd 0.5000 0.5000 0.2542 (multiplicity 2)  4 Cd 2.79-2.98, 4 Ir 2.89, 4 Mn 2.91
Ir 0.0000 0.0000 0.5000 (multiplicity 1)  2 Mn 2.84, 8 Cd 2.89, 2 Ir 2.98

--- d ---
A relaxed structure of MnCd2Ir, computed with PBE.

Cell: 6.5144 6.5144 6.5144 Å, 90.00 90.00 90.00°
Last column: nearest neighbours and their distance in Å.
Space group F-43m (No. 216)
One atom of each set of equivalent atoms:
Mn 0.0000 0.0000 0.0000 (multiplicity 4)  4 Ir 2.82, 4 Cd 2.82
Cd 0.0000 0.0000 0.5000 (multiplicity 4)  4 Cd 2.82, 4 Ir 2.82
Cd 0.2500 0.2500 0.7500 (multiplicity 4)  4 Mn 2.82, 4 Cd 2.82
Ir 0.2500 0.2500 0.2500 (multiplicity 4)  4 Cd 2.82, 4 Mn 2.82

Q: Which of them is the least stable? A: c.

--- a ---
A relaxed structure of MnCdIr, computed with PBE.

Cell: 4.3673 4.3673 3.0060 Å, 90.00 90.00 120.00°
Last column: nearest neighbours and their distance in Å.
Space group P-6m2 (No. 187)
One atom of each set of equivalent atoms:
Mn 0.0000 0.0000 0.0000 (multiplicity 1)  3 Ir 2.52
Cd 0.6667 0.3333 0.5000 (multiplicity 1)  6 Mn 2.94, 6 Ir 2.94, 2 Cd 3.01
Ir 0.3333 0.6667 0.0000 (multiplicity 1)  3 Mn 2.52

--- b ---
A relaxed structure of MnCdIr, computed with PBE.

Cell: 6.4471 3.9295 8.8006 Å, 90.00 100.13 90.00°
Last column: nearest neighbours and their distance in Å.
Space group C2/m (No. 12)
One atom of each set of equivalent atoms:
Mn 0.2243 0.0000 0.4327 (multiplicity 4)  4 Ir 2.25-2.51, 2 Mn 2.29
Cd 0.2009 0.0000 0.1083 (multiplicity 4)  3 Ir 2.81-2.99, 1 Mn 2.83, 3 Cd 2.88-2.93
Ir 0.1164 0.0000 0.6810 (multiplicity 4)  4 Mn 2.25-2.51

--- c ---
A relaxed structure of MnCdIr, computed with PBE.

Cell: 2.8629 2.8629 6.7879 Å, 90.00 90.00 120.00°
Last column: nearest neighbours and their distance in Å.
Space group P3m1 (No. 156)
One atom of each set of equivalent atoms:
Mn 0.0000 0.0000 0.0000 (multiplicity 1)  3 Ir 2.58, 6 Mn 2.86
Cd 0.3333 0.6667 0.3493 (multiplicity 1)  6 Cd 2.86, 3 Mn 2.89, 3 Ir 2.95
Ir 0.6667 0.3333 0.7086 (multiplicity 1)  3 Mn 2.58, 6 Ir 2.86

--- d ---
A relaxed structure of MnCdIr, computed with PBE.

Cell: 3.0088 4.7550 13.7221 Å, 90.00 90.00 90.00°
Last column: nearest neighbours and their distance in Å.
Space group Fmm2 (No. 42)
One atom of each set of equivalent atoms:
Mn 0.0000 0.0000 0.0000 (multiplicity 4)  2 Ir 2.50
Cd 0.0000 0.0000 0.3245 (multiplicity 4)  6 Cd 2.81-3.01, 2 Mn 2.84, 2 Ir 2.88
Ir 0.0000 0.0000 0.6455 (multiplicity 4)  2 Mn 2.50

Q: Which of them is the least stable? A: b.